## YFeBr2 (PBE)

Data for a relaxed structure of YFeBr2.

* calculated total energy: -18.91 eV/cell
* crystal system: tetragonal
* E_form (uncorrected): -0.160 eV/atom

```
YFeBr2
1.0
6.051 0.000 0.000
3.260 5.098 0.000
-4.655 -2.549 2.906
Y Br Fe
1 2 1
Direct
0.750 0.250 0.500
0.000 0.000 0.000
0.250 0.750 0.500
0.500 0.500 0.000
```